(1)
! Ca5Cd4Pd GGA-PBE relaxed; values from VASP
&SYSTEM
  ibrav = 0, nat = 10, ntyp = 3
/
ATOMIC_SPECIES
Ca 40.08 Ca.upf
Pd 106.42 Pd.upf
Cd 112.41 Cd.upf
ATOMIC_POSITIONS angstrom
Ca -0.2057 8.0417 5.9522
Ca 0.7654 11.1163 8.2976
Ca -2.1500 1.8859 1.2563
Ca -1.1768 4.9672 3.6068
Ca 1.7386 14.1976 10.6481
Pd 0.0000 0.0000 0.0000
Cd 1.8670 5.9112 4.5092
Cd 3.8083 12.0572 9.1976
Cd 2.8349 8.9755 6.8468
Cd 0.8937 2.8295 2.1584
CELL_PARAMETERS angstrom
-2.4161 2.1691 -1.8431
-2.6973 -0.9723 2.3915
4.7020 14.8867 11.3561
! Crystal system: tetragonal
! Formation enthalpy at 0 K: -0.41 eV/atom

***

(2)
! HfCr2IrBr GGA-PBE relaxed; values from VASP
&SYSTEM
  ibrav = 0, nat = 5, ntyp = 4
/
ATOMIC_SPECIES
Cr 52.00 Cr.upf
Hf 178.49 Hf.upf
Br 79.90 Br.upf
Ir 192.22 Ir.upf
ATOMIC_POSITIONS angstrom
Cr 0.0000 0.0000 2.4403
Cr 2.4403 0.0000 0.0000
Hf 0.0000 2.5149 0.0000
Br 2.4403 2.5149 2.4403
Ir 0.0000 0.0000 0.0000
CELL_PARAMETERS angstrom
4.8807 0.0000 0.0000
0.0000 5.0298 0.0000
0.0000 0.0000 4.8807
! Crystal system: tetragonal
! Uncorrected formation energy: 0.673 eV per atom

***

(3)
! LaNb2Fe2 GGA-PBE relaxed; values from VASP
&SYSTEM
  ibrav = 0, nat = 5, ntyp = 3
/
ATOMIC_SPECIES
Fe 55.84 Fe.upf
La 138.91 La.upf
Nb 92.91 Nb.upf
ATOMIC_POSITIONS angstrom
Fe 2.1579 4.3157 2.6190
Fe 4.3157 2.1579 2.6190
La 0.0000 0.0000 0.0000
Nb 4.3157 4.3157 3.7413
Nb 2.1579 2.1579 1.4968
CELL_PARAMETERS angstrom
4.3157 0.0000 0.0000
0.0000 4.3157 0.0000
2.1579 2.1579 5.2381
! Crystal system: tetragonal
! Relative energy among the computed polymorphs: 0.267 eV/atom
! Formation enthalpy at 0 K: 0.29 eV/atom

***

| no. | final energy (eV per atom) | Fermi-level density of states (states/eV/atom) | total magnetic moment (μB per formula unit) |
| --- | --- | --- | --- |
| 1 | -2.298 | 0.83 | 0.00 |
| 2 | -7.274 | 0.87 | 7.39 |
| 3 | -8.108 | 1.08 | 0.32 |